(1)
Material: AcGdCdBi
Method: DFT, PBE
State: relaxed

Lattice parameters (Å, degrees): 5.6611 5.6611 5.6611 60.00 60.00 60.00
With the nearest neighbours (Å) after each atom.
Fractional positions:
Ac: 0.5000 0.5000 0.5000  4 Bi 3.47, 4 Cd 3.47
Gd: 0.0000 0.0000 0.0000  4 Bi 3.47, 4 Cd 3.47
Bi: 0.2500 0.2500 0.2500  4 Gd 3.47, 4 Ac 3.47
Cd: 0.7500 0.7500 0.7500  4 Gd 3.47, 4 Ac 3.47

Values from the calculation:
For the volume, the calculation gives 32.07 Å³/atom. As for the formation energy: -455 meV/atom.

=====

(2)
Material: AcCdGeBi
Method: DFT, PBE
State: relaxed

Lattice parameters (Å, degrees): 5.4772 5.4772 5.4772 60.00 60.00 60.00
With the nearest neighbours (Å) after each atom.
Fractional positions:
Ac: 0.0000 0.0000 0.0000  4 Cd 3.35, 4 Ge 3.35
Ge: 0.2500 0.2500 0.2500  4 Ac 3.35, 4 Bi 3.35
Bi: 0.5000 0.5000 0.5000  4 Cd 3.35, 4 Ge 3.35
Cd: 0.7500 0.7500 0.7500  4 Ac 3.35, 4 Bi 3.35

Values from the calculation:
For the volume, the calculation gives 29.05 Å³/atom. As for the formation energy: -219 meV/atom.

=====

(3)
Material: AcCdHgBi
Method: DFT, PBE
State: relaxed

Lattice parameters (Å, degrees): 5.5651 5.5651 5.5651 60.00 60.00 60.00
With the nearest neighbours (Å) after each atom.
Fractional positions:
Ac: 0.5000 0.5000 0.5000  4 Cd 3.41, 4 Hg 3.41
Cd: 0.7500 0.7500 0.7500  4 Ac 3.41, 4 Bi 3.41
Bi: 0.0000 0.0000 0.0000  4 Hg 3.41, 4 Cd 3.41
Hg: 0.2500 0.2500 0.2500  4 Ac 3.41, 4 Bi 3.41

Values from the calculation:
For the volume, the calculation gives 30.47 Å³/atom. As for the formation energy: -375 meV/atom.

=====

(4)
Material: Ac3Cd2Hg4Bi2
Method: DFT, PBE
State: relaxed

Lattice parameters (Å, degrees): 4.8577 4.8577 14.9938 99.32 99.32 90.00
With the nearest neighbours (Å) after each atom.
Fractional positions:
Ac: 0.0000 0.0000 0.0000  8 Cd 3.70, 8 Hg 3.85
Ac: 0.1926 0.1926 0.3853  5 Bi 3.43-3.44, 4 Hg 3.58
Ac: 0.8074 0.8074 0.6147  5 Bi 3.43-3.44, 4 Hg 3.58
Cd: 0.4533 0.4533 0.9066  1 Cd 2.73, 4 Hg 2.92
Cd: 0.5467 0.5467 0.0934  1 Cd 2.73, 4 Hg 2.92
Hg: 0.3976 0.8976 0.7952  2 Cd 2.92
Hg: 0.8976 0.3976 0.7952  2 Cd 2.92
Hg: 0.1024 0.6024 0.2048  2 Cd 2.92
Hg: 0.6024 0.1024 0.2048  2 Cd 2.92
Bi: 0.3103 0.3103 0.6206  5 Ac 3.43-3.44, 4 Hg 3.52
Bi: 0.6897 0.6897 0.3794  5 Ac 3.43-3.44, 4 Hg 3.52

Values from the calculation:
For the volume, the calculation gives 31.31 Å³/atom. As for the formation energy: -418 meV/atom.

=====

(5)
Material: AcHoCdBi
Method: DFT, PBE
State: relaxed

Lattice parameters (Å, degrees): 5.6287 5.6287 5.6287 60.00 60.00 60.00
With the nearest neighbours (Å) after each atom.
Fractional positions:
Ac: 0.5000 0.5000 0.5000  4 Cd 3.45, 4 Bi 3.45
Cd: 0.7500 0.7500 0.7500  4 Ac 3.45, 4 Ho 3.45
Bi: 0.2500 0.2500 0.2500  4 Ac 3.45, 4 Ho 3.45
Ho: 0.0000 0.0000 0.0000  4 Cd 3.45, 4 Bi 3.45

Values from the calculation:
For the volume, the calculation gives 31.52 Å³/atom. As for the formation energy: -406 meV/atom.

=====

(6)
Material: AcCdIn2Bi2
Method: DFT, PBE
State: relaxed

Lattice parameters (Å, degrees): 4.6456 8.1730 10.4212 90.00 90.00 90.00
With the nearest neighbours (Å) after each atom.
Fractional positions:
Ac: 0.0000 0.0009 0.3842  5 Bi 3.44-3.53, 1 In 3.54, 2 Cd 3.70
Ac: 0.0000 0.5009 0.6158  5 Bi 3.44-3.53, 1 In 3.54, 2 Cd 3.70
Cd: 0.5000 0.1598 0.6853  4 Bi 3.04-3.06
Cd: 0.5000 0.6598 0.3147  4 Bi 3.04-3.06
In: 0.5000 0.0313 0.0760  4 Bi 3.50-3.54, 4 In 3.51-3.79
In: 0.0000 0.3321 0.1653  4 Bi 3.13-3.50
In: 0.5000 0.5313 0.9240  4 Bi 3.50-3.54, 4 In 3.51-3.79
In: 0.0000 0.8321 0.8347  4 Bi 3.13-3.50
Bi: 0.0000 0.2127 0.8686  2 Cd 3.04, 2 In 3.13-3.24
Bi: 0.5000 0.3089 0.4157  2 Cd 3.06
Bi: 0.0000 0.7127 0.1314  2 Cd 3.04, 2 In 3.13-3.24
Bi: 0.5000 0.8089 0.5843  2 Cd 3.06

Values from the calculation:
For the volume, the calculation gives 32.97 Å³/atom. As for the formation energy: -256 meV/atom.